# 1
Computed, not measured: a geometry-optimized ScSiIr2 structure at the GGA-PBE level of DFT.

POSCAR file:
```
ScSiIr2
1.0
4.3390 0.0000 0.0000
0.0000 2.9822 0.0037
0.0000 1.4852 4.8249
Ir Si Sc
2 1 1
Cartesian
2.1695 0.9301 1.2219
0.0000 3.9177 4.6925
2.1695 3.9068 3.7216
0.0000 2.4139 2.4356
```

The calculation puts the total energy at -7.997 eV per atom. Its symmetry is Pm (6). The density is 12.2 g/cm3. The calculation puts the uncorrected formation energy at -628 meV per atom. The calculation puts the density of states at the Fermi level at 0.7091 states/eV per atom.



# 2
Computed, not measured: a geometry-optimized Dy12Ho7Zr structure at the GGA-PBE level of DFT.

POSCAR file:
```
Dy12Ho7Zr
1.0
9.2422 0.0000 -3.2676
-4.6211 8.0040 -3.2676
0.0000 0.0000 9.8029
Zr Dy Ho
1 12 7
Cartesian
0.0000 0.0000 0.0000
1.5823 6.2496 3.2675
6.2035 1.7545 -3.2675
8.2292 1.7544 3.6703
3.6083 6.2495 0.4026
2.5953 8.0039 -3.6703
-3.6081 6.2496 -0.4026
2.0258 0.0001 6.9379
3.0388 1.7544 0.0001
0.0001 3.5089 -0.0001
4.6210 4.4951 3.2677
-1.5824 6.2495 6.5351
1.0128 1.7545 2.8650
2.3106 4.0020 1.6338
4.6211 0.0000 3.2676
-2.3106 4.0020 -1.6338
-2.3106 4.0020 3.2676
2.3106 4.0020 -3.2676
0.0000 0.0000 4.9014
4.6211 0.0000 -1.6338
```

The calculation puts the total energy at -4.006 eV per atom. Its symmetry is Im-3m (229). The density is 7.3 g/cm3. For the energy above the most stable polymorph in this dataset, the calculation gives 518 meV per atom. The calculation puts the density of states at the Fermi level at 1.1257 states/eV per atom.